First-principles (PBE) data for crystalline NaTbNb at its relaxed geometry, as listed in OQMD.

Lattice parameters (Å, degrees): 5.1121 5.1121 5.1121 60.00 60.00 60.00
Last column: nearest neighbours and their distance in Å.
Element x y z (fractional)
Na: 0.0000 0.0000 0.0000  4 Nb 3.13
Tb: 0.5000 0.5000 0.5000  4 Nb 3.13
Nb: 0.2500 0.2500 0.2500  4 Tb 3.13, 4 Na 3.13

Space group: F-43m (216)
Crystal system: cubic
Total magnetic moment in μB/f.u.: 4.07
VASP energy in eV/atom: -3.96